No. 1
# SCAN MgGeSe2N, PBEsol geometry
# energy relative to the elements, uncorrected: 0.2659 eV per atom
# volume: 94 Å³ per cell
# DFT total energy: -14.44 eV per atom
# spin magnetization: 0.00 Bohr magnetons per cell
data_MgGeSe2N
_cell_length_a 5.176
_cell_length_b 5.176
_cell_length_c 3.512
_cell_angle_alpha 90.00
_cell_angle_beta 90.00
_cell_angle_gamma 90.00
_symmetry_space_group_name_H-M 'P 4/m m m'
_symmetry_Int_Tables_number 123
_symmetry_space_group_name_Hall '-P 4 2'
loop_
_atom_site_label
_atom_site_fract_x
_atom_site_fract_y
_atom_site_fract_z
Mg1 0.000 0.000 0.000
Ge1 0.500 0.500 0.500
Se1 0.000 0.500 0.500
N1 0.500 0.500 0.000

---

No. 2
# SCAN MgGeTeN2, PBEsol geometry
# energy relative to the elements, uncorrected: 1.1038 eV per atom
# volume: 98 Å³ per cell
# DFT total energy: -14.88 eV per atom
# spin magnetization: 3.94 Bohr magnetons per cell
data_MgGeTeN2
_cell_length_a 4.138
_cell_length_b 4.138
_cell_length_c 5.708
_cell_angle_alpha 90.00
_cell_angle_beta 90.00
_cell_angle_gamma 90.00
_symmetry_space_group_name_H-M 'P 4/m m m'
_symmetry_Int_Tables_number 123
_symmetry_space_group_name_Hall '-P 4 2'
loop_
_atom_site_label
_atom_site_fract_x
_atom_site_fract_y
_atom_site_fract_z
Mg1 0.000 0.000 0.000
Ge1 0.500 0.500 0.500
Te1 0.000 0.000 0.500
N1 0.000 0.500 0.000

---

No. 3
# SCAN Na2MgGeO4, PBEsol geometry
# energy relative to the elements, uncorrected: -2.2202 eV per atom
# volume: 216 Å³ per cell
# DFT total energy: -9.40 eV per atom
# spin magnetization: 0.00 Bohr magnetons per cell
data_Na2MgGeO4
_cell_length_a 5.355
_cell_length_b 5.651
_cell_length_c 8.909
_cell_angle_alpha 90.00
_cell_angle_beta 126.84
_cell_angle_gamma 90.00
_symmetry_space_group_name_H-M 'P 1 c 1'
_symmetry_Int_Tables_number 7
_symmetry_space_group_name_Hall 'P -2yc'
loop_
_atom_site_label
_atom_site_fract_x
_atom_site_fract_y
_atom_site_fract_z
Na1 0.000 0.172 0.000
Na2 0.253 0.320 0.756
Mg1 0.738 0.316 0.250
Ge1 0.486 0.184 0.502
O1 0.132 0.207 0.475
O2 0.425 0.295 0.298
O3 0.596 0.118 0.031
O4 0.773 0.349 0.704